Record 1
{"formula": "TiNiB", "functional": "PBE", "state": "optimized geometry", "space_group": "Cmce, No. 64", "magnetic_moment_mub_per_fu": 0.00, "dft_energy_ev_per_atom": -7.36, "formation_energy_mev_per_atom": -577, "cell": [[4.792, 0.000, 0.000], [-2.396, 4.768, 0.000], [0.000, 0.000, 5.682]], "species": ["B", "B", "B", "B", "Ni", "Ni", "Ni", "Ni", "Ti", "Ti", "Ti", "Ti"], "frac_coords": [[0.589, 0.178, 0.546], [0.911, 0.822, 0.046], [0.411, 0.822, 0.454], [0.089, 0.178, 0.954], [0.303, 0.107, 0.250], [0.197, 0.893, 0.750], [0.697, 0.893, 0.750], [0.803, 0.107, 0.250], [0.814, 0.627, 0.408], [0.686, 0.373, 0.908], [0.186, 0.373, 0.592], [0.314, 0.627, 0.092]]}

Record 2
{"formula": "KCr2Fe", "functional": "PBE", "state": "optimized geometry", "space_group": "Cmmm, No. 65", "magnetic_moment_mub_per_fu": 0.00, "dft_energy_ev_per_atom": -6.17, "formation_energy_mev_per_atom": 1036, "cell": [[-2.472, -0.050, -0.779], [0.729, -1.116, -2.223], [-1.071, -8.558, 3.946]], "species": ["Cr", "Cr", "Fe", "K"], "frac_coords": [[0.000, 0.000, 0.079], [0.000, 0.000, 0.421], [0.500, 0.500, 0.250], [0.500, 0.500, 0.750]]}

Record 3
{"formula": "Li3Pu4Bi8", "functional": "PBE", "state": "optimized geometry", "space_group": "P-4m2, No. 115", "magnetic_moment_mub_per_fu": 20.42, "dft_energy_ev_per_atom": -6.60, "formation_energy_mev_per_atom": -327, "cell": [[-2.586, -1.275, 3.537], [3.716, -1.521, 2.169], [2.481, 17.802, 8.233]], "species": ["Li", "Li", "Li", "Pu", "Pu", "Pu", "Pu", "Bi", "Bi", "Bi", "Bi", "Bi", "Bi", "Bi", "Bi"], "frac_coords": [[0.500, 0.500, 0.500], [0.000, 0.000, 0.000], [0.000, 0.000, 0.500], [0.500, 0.000, 0.369], [0.500, 0.000, 0.887], [0.000, 0.500, 0.113], [0.000, 0.500, 0.631], [0.500, 0.000, 0.076], [0.500, 0.000, 0.588], [0.000, 0.500, 0.412], [0.000, 0.500, 0.924], [0.500, 0.500, 0.241], [0.500, 0.500, 0.759], [0.000, 0.000, 0.241], [0.000, 0.000, 0.759]]}

Record 4
{"formula": "Sc2OsCl", "functional": "PBE", "state": "optimized geometry", "formation_energy_uncorrected_ev_per_atom": -0.613, "space_group": "R-3m, No. 166", "magnetic_moment_mub_per_fu": 0.00, "dft_energy_ev_per_atom": -7.05, "cell": [[2.235, 0.000, 7.719], [-1.117, 1.936, 7.719], [-1.117, -1.936, 7.719]], "species": ["Sc", "Sc", "Os", "Cl"], "frac_coords": [[0.892, 0.892, 0.892], [0.108, 0.108, 0.108], [0.500, 0.500, 0.500], [0.000, 0.000, 0.000]]}

Record 5
{"formula": "TbTmScIr", "functional": "PBE", "state": "optimized geometry", "space_group": "F-43m, No. 216", "magnetic_moment_mub_per_fu": 0.42, "dft_energy_ev_per_atom": -6.36, "formation_energy_mev_per_atom": -283, "cell": [[-0.606, -4.604, -1.890], [1.160, -4.018, 2.765], [-3.638, -2.971, 1.753]], "species": ["Sc", "Tb", "Ir", "Tm"], "frac_coords": [[0.000, 0.000, 0.000], [0.250, 0.250, 0.250], [0.500, 0.500, 0.500], [0.750, 0.750, 0.750]]}

Record 6
{"formula": "ScTc2Os", "functional": "PBE", "state": "optimized geometry", "space_group": "R3m, No. 160", "magnetic_moment_mub_per_fu": 0.00, "dft_energy_ev_per_atom": -9.43, "formation_energy_mev_per_atom": 143, "cell": [[9.083, 0.000, 0.000], [8.636, 2.816, 0.000], [8.636, 1.372, 2.459]], "species": ["Os", "Sc", "Tc", "Tc"], "frac_coords": [[0.504, 0.504, 0.504], [0.750, 0.750, 0.750], [0.996, 0.996, 0.996], [0.250, 0.250, 0.250]]}

Record 7
{"formula": "Li2Ac3Pd9Au", "functional": "PBE", "state": "optimized geometry", "space_group": "P-3m1, No. 164", "magnetic_moment_mub_per_fu": 0.00, "dft_energy_ev_per_atom": -4.87, "formation_energy_mev_per_atom": -457, "cell": [[6.971, 0.000, 0.000], [-3.485, 6.037, 0.000], [0.000, 0.000, 7.317]], "species": ["Li", "Li", "Ac", "Ac", "Ac", "Pd", "Pd", "Pd", "Pd", "Pd", "Pd", "Pd", "Pd", "Pd", "Au"], "frac_coords": [[0.333, 0.667, 0.115], [0.667, 0.333, 0.885], [0.333, 0.667, 0.664], [0.000, 0.000, 0.000], [0.667, 0.333, 0.336], [0.810, 0.190, 0.678], [0.810, 0.619, 0.678], [0.381, 0.190, 0.678], [0.619, 0.810, 0.322], [0.190, 0.381, 0.322], [0.190, 0.810, 0.322], [0.500, 0.000, 0.000], [0.000, 0.500, 0.000], [0.500, 0.500, 0.000], [0.000, 0.000, 0.500]]}

Record 8
{"formula": "Pa2Al3Au2", "functional": "PBE", "state": "optimized geometry", "space_group": "Cmmm, No. 65", "magnetic_moment_mub_per_fu": 0.00, "dft_energy_ev_per_atom": -5.44, "formation_energy_mev_per_atom": -189, "cell": [[-1.276, 2.638, -0.964], [-2.804, -0.005, 3.698], [8.318, 5.266, 3.402]], "species": ["Pa", "Pa", "Al", "Al", "Al", "Au", "Au"], "frac_coords": [[0.000, 0.851, 0.703], [0.000, 0.149, 0.297], [0.500, 0.570, 0.139], [0.500, 0.430, 0.861], [0.000, 0.000, 0.000], [0.500, 0.711, 0.421], [0.500, 0.289, 0.579]]}

Record 9
{"formula": "AgAsPd", "functional": "PBE", "state": "optimized geometry", "space_group": "F-43m, No. 216", "magnetic_moment_mub_per_fu": 0.00, "dft_energy_ev_per_atom": -4.25, "formation_energy_mev_per_atom": -14, "cell": [[4.312, 0.000, 0.000], [2.156, 3.734, 0.000], [2.156, 1.245, 3.520]], "species": ["As", "Pd", "Ag"], "frac_coords": [[0.250, 0.250, 0.250], [0.000, 0.000, 0.000], [0.500, 0.500, 0.500]]}

Record 10
{"formula": "Tb5DyY6", "functional": "PBE", "state": "optimized geometry", "space_group": "C2/m, No. 12", "magnetic_moment_mub_per_fu": 0.00, "dft_energy_ev_per_atom": -5.53, "formation_energy_mev_per_atom": 19, "cell": [[11.721, -1.395, 0.000], [1.783, 5.915, 0.000], [0.892, 2.957, 5.344]], "species": ["Tb", "Tb", "Tb", "Tb", "Tb", "Dy", "Y", "Y", "Y", "Y", "Y", "Y"], "frac_coords": [[0.500, 0.167, 0.667], [0.000, 0.333, 0.333], [0.500, 0.500, 0.000], [0.000, 0.667, 0.667], [0.500, 0.833, 0.333], [0.000, 0.000, 0.000], [0.750, 0.083, 0.333], [0.250, 0.584, 0.333], [0.250, 0.250, 0.000], [0.750, 0.750, 0.000], [0.750, 0.416, 0.667], [0.250, 0.917, 0.667]]}

Record 11
{"formula": "Y8GaPt2", "functional": "PBE", "state": "optimized geometry", "space_group": "Cm, No. 8", "magnetic_moment_mub_per_fu": 0.73, "dft_energy_ev_per_atom": -6.57, "formation_energy_mev_per_atom": -495, "cell": [[-3.804, 1.495, -3.812], [-0.563, -7.868, -0.806], [-3.634, 2.830, 6.455]], "species": ["Y", "Y", "Y", "Y", "Y", "Y", "Y", "Y", "Pt", "Pt", "Ga"], "frac_coords": [[0.579, 0.334, 0.082], [0.579, 0.082, 0.334], [0.189, 0.385, 0.385], [0.995, 0.233, 0.766], [0.995, 0.766, 0.233], [0.806, 0.630, 0.630], [0.393, 0.924, 0.669], [0.393, 0.669, 0.924], [0.497, 0.698, 0.310], [0.497, 0.310, 0.698], [0.079, 0.003, 0.003]]}

Record 12
{"formula": "NaSrMg2", "functional": "PBE", "state": "optimized geometry", "space_group": "P4/mmm, No. 123", "magnetic_moment_mub_per_fu": 0.00, "dft_energy_ev_per_atom": -1.50, "formation_energy_mev_per_atom": 52, "cell": [[4.022, 0.000, 0.000], [0.000, 4.022, 0.000], [0.000, 0.000, 8.113]], "species": ["Sr", "Mg", "Mg", "Na"], "frac_coords": [[0.500, 0.500, 0.500], [0.000, 0.000, 0.782], [0.000, 0.000, 0.218], [0.500, 0.500, 0.000]]}